# BaZrSi, relaxed, DFT GGA-PBE
data_BaZrSi
_chemical_formula_sum 'Ba2 Zr2 Si2'
_symmetry_space_group_name_H-M 'P 1'
_symmetry_Int_Tables_number 1
_cell_length_a 3.765
_cell_length_b 3.765
_cell_length_c 12.239
_cell_angle_alpha 90.15
_cell_angle_beta 90.08
_cell_angle_gamma 90.00
loop_
_symmetry_equiv_pos_as_xyz
'x,y,z'
loop_
_atom_site_label
_atom_site_fract_x
_atom_site_fract_y
_atom_site_fract_z
Si1 0.751 0.251 0.649
Si2 0.249 0.749 0.351
Ba1 0.749 0.247 0.161
Ba2 0.251 0.753 0.839
Zr1 0.250 0.751 0.576
Zr2 0.750 0.249 0.424
# - electronic total energy (eV/atom) = -5.718
# - DOS(E_F) (states/eV per cell) = 3.17
# - space group = P-1, No. 2
# - formation energy from raw total energies (eV per atom) = -0.4198